Entry 1:
An optimized crystal structure of Ba2SrPbO, computed with PBE.

Cell: 5.540 5.540 5.274 Å, 90.00 90.00 90.00°
Atoms (fractional coordinates):
1 Ba 0.000 0.500 0.000
2 Ba 0.500 0.000 0.000
3 Sr 0.000 0.000 0.500
4 Pb 0.500 0.500 0.500
5 O 0.000 0.000 0.000

Summary:
Its uncorrected formation energy is -1369 meV/atom. The space group is P4/mmm.



Entry 2:
An optimized crystal structure of BaSrPbO4, computed with PBE.

Cell: 7.224 7.224 6.154 Å, 90.00 90.00 129.62°
Atoms (fractional coordinates):
1 Ba 0.104 0.896 0.750
2 Ba 0.896 0.104 0.250
3 Sr 0.393 0.607 0.750
4 Sr 0.607 0.393 0.250
5 Pb 0.253 0.747 0.250
6 Pb 0.747 0.253 0.750
7 O 0.000 0.500 0.000
8 O 0.000 0.500 0.500
9 O 0.088 0.912 0.250
10 O 0.421 0.579 0.250
11 O 0.500 0.000 0.000
12 O 0.500 0.000 0.500
13 O 0.579 0.421 0.750
14 O 0.912 0.088 0.750

Summary:
Its uncorrected formation energy is -1958 meV/atom. The space group is Cmcm.



Entry 3:
An optimized crystal structure of Ba3TaPb2O8, computed with PBE.

Cell: 6.113 6.113 8.199 Å, 90.00 90.00 120.00°
Atoms (fractional coordinates):
1 Ba 0.000 0.000 0.000
2 Ba 0.333 0.667 0.622
3 Ba 0.667 0.333 0.378
4 Ta 0.000 0.000 0.500
5 Pb 0.333 0.667 0.192
6 Pb 0.667 0.333 0.808
7 O 0.153 0.306 0.356
8 O 0.153 0.847 0.356
9 O 0.306 0.153 0.644
10 O 0.333 0.667 0.921
11 O 0.667 0.333 0.079
12 O 0.694 0.847 0.356
13 O 0.847 0.153 0.644
14 O 0.847 0.694 0.644

Summary:
Its uncorrected formation energy is -2067 meV/atom. The space group is P-3m1.



Entry 4:
An optimized crystal structure of Ba3Ta2PbO9, computed with PBE.

Cell: 5.998 5.998 7.889 Å, 90.00 90.00 120.00°
Atoms (fractional coordinates):
1 Ba 0.000 0.000 0.000
2 Ba 0.333 0.667 0.706
3 Ba 0.667 0.333 0.294
4 Ta 0.333 0.667 0.162
5 Ta 0.667 0.333 0.838
6 Pb 0.000 0.000 0.500
7 O 0.000 0.500 0.000
8 O 0.176 0.353 0.290
9 O 0.176 0.824 0.290
10 O 0.353 0.176 0.710
11 O 0.500 0.000 0.000
12 O 0.500 0.500 0.000
13 O 0.647 0.824 0.290
14 O 0.824 0.176 0.710
15 O 0.824 0.647 0.710

Summary:
Its uncorrected formation energy is -2692 meV/atom. The space group is P-3m1.



Entry 5:
An optimized crystal structure of Ba3TbPb2O6, computed with PBE.

Cell: 6.262 6.262 7.194 Å, 90.00 90.00 120.00°
Atoms (fractional coordinates):
1 Ba 0.000 0.000 0.000
2 Ba 0.333 0.667 0.617
3 Ba 0.667 0.333 0.383
4 Tb 0.000 0.000 0.500
5 Pb 0.333 0.667 0.127
6 Pb 0.667 0.333 0.873
7 O 0.169 0.339 0.315
8 O 0.169 0.831 0.315
9 O 0.339 0.169 0.685
10 O 0.661 0.831 0.315
11 O 0.831 0.169 0.685
12 O 0.831 0.661 0.685

Summary:
Its uncorrected formation energy is -2214 meV/atom. The space group is P-3m1.



Entry 6:
An optimized crystal structure of Ba2TbPbO6, computed with PBE.

Cell: 6.244 6.178 10.736 Å, 90.00 125.32 90.00°
Atoms (fractional coordinates):
1 Ba 0.243 0.008 0.249
2 Ba 0.243 0.492 0.749
3 Ba 0.757 0.508 0.251
4 Ba 0.757 0.992 0.751
5 Tb 0.500 0.000 0.000
6 Tb 0.500 0.500 0.500
7 Pb 0.000 0.000 0.500
8 Pb 0.000 0.500 0.000
9 O 0.200 0.244 0.963
10 O 0.200 0.256 0.463
11 O 0.218 0.738 0.963
12 O 0.218 0.762 0.463
13 O 0.313 0.006 0.746
14 O 0.313 0.494 0.246
15 O 0.687 0.506 0.754
16 O 0.687 0.994 0.254
17 O 0.782 0.238 0.537
18 O 0.782 0.262 0.037
19 O 0.800 0.744 0.537
20 O 0.800 0.756 0.037

Summary:
Its uncorrected formation energy is -2224 meV/atom. The space group is P2_1/c.



Entry 7:
An optimized crystal structure of BaTb4Pb3O12, computed with PBE.

Cell: 7.470 7.470 7.470 Å, 109.47 109.47 109.47°
Atoms (fractional coordinates):
1 Ba 0.000 0.000 0.000
2 Tb 0.000 0.000 0.500
3 Tb 0.000 0.500 0.000
4 Tb 0.500 0.000 0.000
5 Tb 0.500 0.500 0.500
6 Pb 0.000 0.500 0.500
7 Pb 0.500 0.000 0.500
8 Pb 0.500 0.500 0.000
9 O 0.128 0.306 0.822
10 O 0.178 0.485 0.306
11 O 0.178 0.872 0.694
12 O 0.306 0.178 0.485
13 O 0.306 0.822 0.128
14 O 0.485 0.306 0.178
15 O 0.515 0.694 0.822
16 O 0.694 0.178 0.872
17 O 0.694 0.822 0.515
18 O 0.822 0.128 0.306
19 O 0.822 0.515 0.694
20 O 0.872 0.694 0.178

Summary:
Its uncorrected formation energy is -2303 meV/atom. The space group is Im-3.



Entry 8:
An optimized crystal structure of Ba4TbPb3O12, computed with PBE.

Cell: 7.579 7.579 7.579 Å, 109.47 109.47 109.47°
Atoms (fractional coordinates):
1 Ba 0.000 0.000 0.500
2 Ba 0.000 0.500 0.000
3 Ba 0.500 0.000 0.000
4 Ba 0.500 0.500 0.500
5 Tb 0.000 0.000 0.000
6 Pb 0.000 0.500 0.500
7 Pb 0.500 0.000 0.500
8 Pb 0.500 0.500 0.000
9 O 0.000 0.255 0.255
10 O 0.000 0.745 0.745
11 O 0.250 0.500 0.750
12 O 0.250 0.750 0.500
13 O 0.255 0.000 0.255
14 O 0.255 0.255 0.000
15 O 0.500 0.250 0.750
16 O 0.500 0.750 0.250
17 O 0.745 0.000 0.745
18 O 0.745 0.745 0.000
19 O 0.750 0.250 0.500
20 O 0.750 0.500 0.250

Summary:
Its uncorrected formation energy is -1947 meV/atom. The space group is Im-3m.



Entry 9:
An optimized crystal structure of Ba2TcPbO6, computed with PBE.

Cell: 6.016 6.016 6.430 Å, 117.87 117.87 90.00°
Atoms (fractional coordinates):
1 Ba 0.250 0.750 0.000
2 Ba 0.750 0.250 0.000
3 Tc 0.031 0.031 0.562
4 Pb 0.510 0.510 0.520
5 O 0.284 0.284 0.072
6 O 0.295 0.853 0.648
7 O 0.296 0.296 0.649
8 O 0.845 0.845 0.188
9 O 0.852 0.852 0.646
10 O 0.853 0.295 0.648

Summary:
Its uncorrected formation energy is -1895 meV/atom. The space group is Cm.



Entry 10:
An optimized crystal structure of BaTcPbO2, computed with PBE.

Cell: 4.478 4.478 6.951 Å, 90.00 90.00 90.00°
Atoms (fractional coordinates):
1 Ba 0.000 0.000 0.000
2 Tc 0.000 0.000 0.500
3 Pb 0.500 0.500 0.500
4 O 0.000 0.500 0.000
5 O 0.500 0.000 0.000

Summary:
Its uncorrected formation energy is 508 meV/atom. The space group is P4/mmm.



Entry 11:
An optimized crystal structure of Ba3Tc2PbO9, computed with PBE.

Cell: 5.951 5.951 7.484 Å, 90.00 90.00 120.00°
Atoms (fractional coordinates):
1 Ba 0.000 0.000 0.000
2 Ba 0.333 0.667 0.669
3 Ba 0.667 0.333 0.331
4 Tc 0.333 0.667 0.145
5 Tc 0.667 0.333 0.855
6 Pb 0.000 0.000 0.500
7 O 0.000 0.500 0.000
8 O 0.182 0.364 0.299
9 O 0.182 0.818 0.299
10 O 0.364 0.182 0.701
11 O 0.500 0.000 0.000
12 O 0.500 0.500 0.000
13 O 0.636 0.818 0.299
14 O 0.818 0.182 0.701
15 O 0.818 0.636 0.701

Summary:
Its uncorrected formation energy is -1943 meV/atom. The space group is P-3m1.



Entry 12:
An optimized crystal structure of BaTc2PbO8, computed with PBE.

Cell: 6.323 6.323 6.691 Å, 107.28 107.28 57.23°
Atoms (fractional coordinates):
1 Ba 0.000 0.000 0.000
2 Tc 0.213 0.213 0.690
3 Tc 0.787 0.787 0.310
4 Pb 0.500 0.500 0.500
5 O 0.091 0.627 0.226
6 O 0.155 0.155 0.407
7 O 0.373 0.909 0.774
8 O 0.384 0.384 0.779
9 O 0.616 0.616 0.221
10 O 0.627 0.091 0.226
11 O 0.845 0.845 0.593
12 O 0.909 0.373 0.774

Summary:
Its uncorrected formation energy is -1630 meV/atom. The space group is C2/m.



Entry 13:
An optimized crystal structure of BaTePb2O6, computed with PBE.

Cell: 5.736 6.833 10.525 Å, 90.00 122.92 90.00°
Atoms (fractional coordinates):
1 Ba 0.000 0.000 0.000
2 Ba 0.000 0.500 0.500
3 Te 0.500 0.000 0.500
4 Te 0.500 0.500 0.000
5 Pb 0.206 0.052 0.716
6 Pb 0.206 0.448 0.216
7 Pb 0.794 0.552 0.784
8 Pb 0.794 0.948 0.284
9 O 0.196 0.150 0.493
10 O 0.196 0.350 0.993
11 O 0.244 0.723 0.917
12 O 0.244 0.777 0.417
13 O 0.374 0.085 0.294
14 O 0.374 0.415 0.794
15 O 0.626 0.585 0.206
16 O 0.626 0.915 0.706
17 O 0.756 0.223 0.583
18 O 0.756 0.277 0.083
19 O 0.804 0.650 0.007
20 O 0.804 0.850 0.507

Summary:
Its uncorrected formation energy is -1496 meV/atom. The space group is P2_1/c.



Entry 14:
An optimized crystal structure of BaTe2PbO8, computed with PBE.

Cell: 8.444 8.444 8.444 Å, 39.29 39.29 39.29°
Atoms (fractional coordinates):
1 Ba 0.000 0.000 0.000
2 Te 0.253 0.253 0.253
3 Te 0.747 0.747 0.747
4 Pb 0.500 0.500 0.500
5 O 0.061 0.810 0.439
6 O 0.190 0.561 0.939
7 O 0.332 0.332 0.332
8 O 0.439 0.061 0.810
9 O 0.561 0.939 0.190
10 O 0.668 0.668 0.668
11 O 0.810 0.439 0.061
12 O 0.939 0.190 0.561

Summary:
Its uncorrected formation energy is -1259 meV/atom. The space group is R-3.



Entry 15:
An optimized crystal structure of BaTePbO, computed with PBE.

Cell: 4.500 4.500 15.061 Å, 90.00 90.00 120.00°
Atoms (fractional coordinates):
1 Ba 0.333 0.667 0.000
2 Ba 0.667 0.333 0.500
3 Te 0.333 0.667 0.330
4 Te 0.667 0.333 0.830
5 Pb 0.000 0.000 0.211
6 Pb 0.000 0.000 0.711
7 O 0.000 0.000 0.056
8 O 0.000 0.000 0.556

Summary:
Its uncorrected formation energy is -1357 meV/atom. The space group is P6_3mc.



Entry 16:
An optimized crystal structure of BaTePb2O8, computed with PBE.

Cell: 4.957 5.039 7.396 Å, 89.97 89.93 89.28°
Atoms (fractional coordinates):
1 Ba 0.000 0.000 0.000
2 Te 0.000 0.000 0.500
3 Pb 0.500 0.500 0.264
4 Pb 0.500 0.500 0.736
5 O 0.211 0.840 0.694
6 O 0.212 0.841 0.306
7 O 0.251 0.466 0.000
8 O 0.259 0.310 0.500
9 O 0.741 0.690 0.500
10 O 0.749 0.534 0.000
11 O 0.788 0.159 0.694
12 O 0.789 0.160 0.306

Summary:
Its uncorrected formation energy is -1112 meV/atom. The space group is P-1.



Entry 17:
An optimized crystal structure of Ba2ThPbO6, computed with PBE.

Cell: 6.288 6.284 10.855 Å, 90.00 125.18 90.00°
Atoms (fractional coordinates):
1 Ba 0.242 0.021 0.249
2 Ba 0.242 0.479 0.749
3 Ba 0.758 0.521 0.251
4 Ba 0.758 0.979 0.751
5 Th 0.500 0.000 0.000
6 Th 0.500 0.500 0.500
7 Pb 0.000 0.000 0.500
8 Pb 0.000 0.500 0.000
9 O 0.181 0.227 0.962
10 O 0.181 0.273 0.462
11 O 0.233 0.721 0.962
12 O 0.233 0.779 0.462
13 O 0.317 0.015 0.746
14 O 0.317 0.485 0.246
15 O 0.683 0.515 0.754
16 O 0.683 0.985 0.254
17 O 0.767 0.221 0.538
18 O 0.767 0.279 0.038
19 O 0.819 0.727 0.538
20 O 0.819 0.773 0.038

Summary:
Its uncorrected formation energy is -2543 meV/atom. The space group is P2_1/c.



Entry 18:
An optimized crystal structure of Ba3ThPb2O9, computed with PBE.

Cell: 6.235 6.235 7.759 Å, 90.00 90.00 120.00°
Atoms (fractional coordinates):
1 Ba 0.000 0.000 0.000
2 Ba 0.333 0.667 0.701
3 Ba 0.667 0.333 0.299
4 Th 0.000 0.000 0.500
5 Pb 0.333 0.667 0.168
6 Pb 0.667 0.333 0.832
7 O 0.000 0.500 0.000
8 O 0.167 0.334 0.323
9 O 0.167 0.833 0.323
10 O 0.334 0.167 0.677
11 O 0.500 0.000 0.000
12 O 0.500 0.500 0.000
13 O 0.666 0.833 0.323
14 O 0.833 0.167 0.677
15 O 0.833 0.666 0.677

Summary:
Its uncorrected formation energy is -2238 meV/atom. The space group is P-3m1.



Entry 19:
An optimized crystal structure of Ba2TiPbO5, computed with PBE.

Cell: 8.581 8.581 10.589 Å, 90.00 90.00 157.46°
Atoms (fractional coordinates):
1 Ba 0.128 0.872 0.500
2 Ba 0.131 0.869 0.068
3 Ba 0.869 0.131 0.568
4 Ba 0.872 0.128 0.000
5 Ti 0.229 0.771 0.782
6 Ti 0.771 0.229 0.282
7 Pb 0.480 0.520 0.277
8 Pb 0.520 0.480 0.777
9 O 0.108 0.892 0.776
10 O 0.280 0.720 0.156
11 O 0.280 0.720 0.403
12 O 0.337 0.663 0.778
13 O 0.497 0.503 0.068
14 O 0.503 0.497 0.568
15 O 0.663 0.337 0.278
16 O 0.720 0.280 0.656
17 O 0.720 0.280 0.903
18 O 0.892 0.108 0.276

Summary:
Its uncorrected formation energy is -2341 meV/atom. The space group is Cmc2_1.